Density functional theory data (PBE with a Hubbard U) for MnRe2HgO after structural relaxation.

Results
Energy, eV per cell: -34.55
V, Å³/atom: 16.63
Symmetry: P4/mmm, No. 123

abc: 3.9741 5.2665 3.9741
angles: 90.00 90.00 90.00
Closest atoms and distances in Å follow each position.
Positions (direct):
Re: 0.0000 0.0000 0.5000  2 O 1.99
Re: 0.5000 0.0000 0.0000  2 O 1.99
Mn: 0.5000 0.5000 0.5000  4 Hg 2.81
Hg: 0.0000 0.5000 0.0000  2 O 2.63, 4 Mn 2.81
O: 0.0000 0.0000 0.0000  4 Re 1.99